# PBE with a Hubbard U TaFe2PdO6, relaxed
# Energy: -7.381 eV per atom
# Magnetization: 7.0 μB/cell
# Calculated volume: 122 Å³ per cell
data_TaFe2PdO6
_chemical_formula_sum 'Ta1 Fe2 Pd1 O6'
_cell_length_a 4.936
_cell_length_b 5.396
_cell_length_c 5.537
_cell_angle_alpha 110.10
_cell_angle_beta 115.64
_cell_angle_gamma 91.35
_space_group_name_H-M_alt 'P 1'
_space_group_IT_number 1
_space_group_name_Hall 'P 1'
loop_
_atom_site_label
_atom_site_type_symbol
_atom_site_fract_x
_atom_site_fract_y
_atom_site_fract_z
Ta1 Ta 0.000 0.000 0.000
Fe1 Fe 0.219 0.613 0.461
Fe2 Fe 0.724 0.109 0.442
Pd1 Pd 0.500 0.505 0.026
O1 O 0.103 0.245 0.841
O2 O 0.228 0.749 0.878
O3 O 0.358 0.252 0.377
O4 O 0.624 0.889 0.635
O5 O 0.802 0.295 0.215
O6 O 0.894 0.806 0.223